First-principles (PBE) data for a relaxed SbPtSI2 crystal, as listed in the Alexandria database.

Summary:
**Total moment**: 0.4 μB per formula unit
**Density of states at the Fermi level**: 7.27 states/eV/cell
**Polymorph energy (0 for the lowest one)**: 482.8 meV/atom
**Formation energy without anion corrections**: 1.074 eV per atom

a = 5.1746 Å, b = 5.1746 Å, c = 5.5681 Å
α = 90.00°, β = 90.00°, γ = 90.00°
Each line ends with the local moment (μB).
Fractional coordinates of all 5 atoms:
S 0.0000 0.0000 0.0000  -0.01
I 0.5000 0.0000 0.0000  0.02
I 0.0000 0.5000 0.0000  0.02
Sb 0.0000 0.0000 0.5000  0.03
Pt 0.5000 0.5000 0.5000  0.20